DFT (PBE) results for Ag2Hg4SbCl5 after structural relaxation.

Output
The value obtained for the total energy is -2.04 eV/atom. The value obtained for the formation energy (no corrections) is -4.24 eV/f.u.

Cell: 7.639 13.213 6.761 Å, 90.00 90.00 90.00°
Space group Amm2 (No. 38)
Unique sites:
Ag (0.000, 0.196, 0.000) [4 per cell]
Hg (0.174, 0.000, 0.452) [4 per cell]
Hg (0.500, 0.145, 0.985) [4 per cell]
Sb (0.500, 0.000, 0.267) [2 per cell]
Cl (0.000, 0.000, 0.009) [2 per cell]
Cl (0.257, 0.202, 0.712) [8 per cell]

=====

DFT (PBE) results for KSn3Ir after structural relaxation.

Output
The energy relative to the elements is -89 kJ/mol of formula units. The value obtained for the total energy is -4.58 eV/atom.

Cell: 9.322 6.245 9.589 Å, 90.00 101.29 90.00°
Space group P2_1/c (No. 14)
Unique sites:
K (0.079, 0.005, 0.186) [4 per cell]
Sn (0.196, 0.004, 0.574) [4 per cell]
Sn (0.300, 0.628, 0.409) [4 per cell]
Sn (0.454, 0.084, 0.326) [4 per cell]
Ir (0.408, 0.210, 0.056) [4 per cell]

=====

DFT (PBE) results for TlIrPd2 after structural relaxation.

Output
The energy relative to the elements is 92 kJ/mol of formula units. The value obtained for the total energy is -5.17 eV/atom.

Cell: 6.462 6.462 6.462 Å, 90.00 90.00 90.00°
Space group Fm-3m (No. 225)
Unique sites:
Tl (0.000, 0.000, 0.000) [4 per cell]
Ir (0.000, 0.000, 0.500) [4 per cell]
Pd (0.250, 0.250, 0.250) [8 per cell]

=====

Copy entry 1 word for word.
DFT (PBE) results for Ag2Hg4SbCl5 after structural relaxation.

Output
The value obtained for the total energy is -2.04 eV/atom. The value obtained for the formation energy (no corrections) is -4.24 eV/f.u.

Cell: 7.639 13.213 6.761 Å, 90.00 90.00 90.00°
Space group Amm2 (No. 38)
Unique sites:
Ag (0.000, 0.196, 0.000) [4 per cell]
Hg (0.174, 0.000, 0.452) [4 per cell]
Hg (0.500, 0.145, 0.985) [4 per cell]
Sb (0.500, 0.000, 0.267) [2 per cell]
Cl (0.000, 0.000, 0.009) [2 per cell]
Cl (0.257, 0.202, 0.712) [8 per cell]

=====

Q: total energy of number 2 (KSn3Ir)?
A: -4.58 eV/atom